1.
A crystal of LiZr2NF relaxed with PBEsol. Source: the Alexandria database, functional SCAN.

Cell: 3.2537 4.4515 4.4515 Å, 90.00 90.00 90.00°
Closest atoms and distances in Å follow each position.
Sites, in units of the cell vectors:
F 0.5000 0.5000 0.5000  8 Zr 2.76
Zr 0.0000 0.0000 0.5000  2 Li 2.23
Zr 0.0000 0.5000 0.0000  2 Li 2.23
N 0.5000 0.0000 0.0000  2 Li 1.63
Li 0.0000 0.0000 0.0000  2 N 1.63

Properties
* total magnetic moment: 0.0 μB/cell
* SG: P4/mmm (123)
* total DFT energy (no corrections): -15.38 eV/atom
* formation energy (no corrections): -0.059 eV per atom



2.
A crystal of NaLi3F relaxed with PBEsol. Source: the Alexandria database, functional SCAN.

Cell: 4.4355 4.4355 4.4355 Å, 90.00 90.00 90.00°
Closest atoms and distances in Å follow each position.
Sites, in units of the cell vectors:
Li 0.5000 0.0000 0.0000  2 F 2.22
Li 0.0000 0.0000 0.5000  2 F 2.22
Li 0.0000 0.5000 0.0000  2 F 2.22
F 0.0000 0.0000 0.0000  6 Li 2.22
Na 0.5000 0.5000 0.5000  12 Li 3.14

Properties
* total magnetic moment: 0.0 μB/cell
* SG: Pm-3m (221)
* total DFT energy (no corrections): -3.92 eV/atom
* formation energy (no corrections): -0.933 eV per atom



3.
A crystal of NaLiOF2 relaxed with PBEsol. Source: the Alexandria database, functional SCAN.

Cell: 3.6511 3.8549 3.8549 Å, 90.00 90.00 90.00°
Closest atoms and distances in Å follow each position.
Sites, in units of the cell vectors:
F 0.0000 0.5000 0.0000  2 Li 1.93
F 0.0000 0.0000 0.5000  2 Li 1.93
Li 0.0000 0.0000 0.0000  2 O 1.83, 4 F 1.93
Na 0.5000 0.5000 0.5000  8 F 2.65, 4 O 2.73
O 0.5000 0.0000 0.0000  2 Li 1.83

Properties
* total magnetic moment: 2.0 μB/cell
* SG: P4/mmm (123)
* total DFT energy (no corrections): -5.73 eV/atom
* formation energy (no corrections): -1.746 eV per atom